First-principles (PBE) data for a relaxed structure of UNb2H, as listed in the Alexandria database.

```
data_UNb2H
_chemical_formula_sum 'U3 Nb6 H3'
_space_group_name_H-M_alt 'P 1'
_space_group_IT_number 1
_cell_length_a 3.2642
_cell_length_b 3.2642
_cell_length_c 23.1126
_cell_angle_alpha 90.00
_cell_angle_beta 90.00
_cell_angle_gamma 120.00
loop_
_space_group_symop_operation_xyz
'x,y,z'
loop_
_atom_site_label
_atom_site_fract_x
_atom_site_fract_y
_atom_site_fract_z
U1 0.0000 0.0000 0.0000
U2 0.3333 0.6667 0.6667
U3 0.6667 0.3333 0.3333
Nb1 0.0000 0.0000 0.4200
Nb2 0.0000 0.0000 0.5800
Nb3 0.3333 0.6667 0.0867
Nb4 0.3333 0.6667 0.2467
Nb5 0.6667 0.3333 0.7533
Nb6 0.6667 0.3333 0.9133
H1 0.0000 0.0000 0.5000
H2 0.3333 0.6667 0.1667
H3 0.6667 0.3333 0.8333
```

# AlCoAu2 (PBE, optimized geometry)
# - formation enthalpy at 0 K (eV per atom) = 0.171
data_AlCoAu2
_chemical_formula_sum 'Al4 Co4 Au8'
_space_group_name_H-M_alt 'P 1'
_space_group_IT_number 1
_cell_length_a 3.8259
_cell_length_b 3.8259
_cell_length_c 18.4641
_cell_angle_alpha 90.00
_cell_angle_beta 90.00
_cell_angle_gamma 90.00
loop_
_space_group_symop_operation_xyz
'x,y,z'
loop_
_atom_site_label
_atom_site_fract_x
_atom_site_fract_y
_atom_site_fract_z
Al1 0.0000 0.0000 0.0000
Al2 0.0000 0.5000 0.2500
Al3 0.5000 0.0000 0.7500
Al4 0.5000 0.5000 0.5000
Co1 0.0000 0.0000 0.5000
Co2 0.0000 0.5000 0.7500
Co3 0.5000 0.0000 0.2500
Co4 0.5000 0.5000 0.0000
Au1 0.2484 0.2500 0.6250
Au2 0.2500 0.7484 0.8750
Au3 0.2500 0.7516 0.3750
Au4 0.2516 0.2500 0.1250
Au5 0.7484 0.7500 0.1250
Au6 0.7500 0.2484 0.3750
Au7 0.7500 0.2516 0.8750
Au8 0.7516 0.7500 0.6250

# Ac2LaHoO6 (PBE, optimized geometry)
# - formation energy without anion corrections (kcal/mol of atoms) = -78.19
data_Ac2LaHoO6
_chemical_formula_sum 'Ac4 La2 Ho2 O12'
_space_group_name_H-M_alt 'P 1'
_space_group_IT_number 1
_cell_length_a 6.1096
_cell_length_b 6.3197
_cell_length_c 10.7705
_cell_angle_alpha 90.00
_cell_angle_beta 124.28
_cell_angle_gamma 90.00
loop_
_space_group_symop_operation_xyz
'x,y,z'
loop_
_atom_site_label
_atom_site_fract_x
_atom_site_fract_y
_atom_site_fract_z
Ac1 0.2357 0.0483 0.2525
Ac2 0.2357 0.4517 0.7525
Ac3 0.7643 0.5483 0.2475
Ac4 0.7643 0.9517 0.7475
La1 0.5000 0.0000 0.0000
La2 0.5000 0.5000 0.5000
Ho1 0.0000 0.0000 0.5000
Ho2 0.0000 0.5000 0.0000
O1 0.1133 0.2049 0.9248
O2 0.1133 0.2951 0.4248
O3 0.2313 0.6895 0.9336
O4 0.2313 0.8105 0.4336
O5 0.3699 0.0636 0.7400
O6 0.3699 0.4364 0.2400
O7 0.6301 0.5636 0.7600
O8 0.6301 0.9364 0.2600
O9 0.7687 0.1895 0.5664
O10 0.7687 0.3105 0.0664
O11 0.8867 0.7049 0.5752
O12 0.8867 0.7951 0.0752

# ZnIr2Rh (PBE, optimized geometry)
# - formation enthalpy at 0 K (eV per atom) = -0.075
data_ZnIr2Rh
_chemical_formula_sum 'Zn1 Ir2 Rh1'
_space_group_name_H-M_alt 'P 1'
_space_group_IT_number 1
_cell_length_a 2.7589
_cell_length_b 3.8116
_cell_length_c 5.4500
_cell_angle_alpha 90.00
_cell_angle_beta 90.00
_cell_angle_gamma 90.00
loop_
_space_group_symop_operation_xyz
'x,y,z'
loop_
_atom_site_label
_atom_site_fract_x
_atom_site_fract_y
_atom_site_fract_z
Zn1 0.0000 0.0000 0.0000
Ir1 0.0000 0.0000 0.4987
Ir2 0.5000 0.5000 0.2649
Rh1 0.5000 0.5000 0.7621

VASP energy (eV/atom)
-7.927; -4.180; -8.138; -6.662
N(E_F) (states/eV/f.u.)
5.59; 7.11; 0.00; 3.50